Record 1
A relaxed structure of BaCe2Dy. Source: Alexandria, functional GGA-PBE.

Properties
As for the density of states at the Fermi level: 2.954 states/eV/atom. For the total energy, the calculation gives -17.0 eV per formula unit. As for the formation enthalpy at 0 K: 0.34 eV/atom.

Cell: 3.5326 3.5326 38.6261 Å, 90.00 90.00 120.00°
Last column: nearest neighbours and their distance in Å.
Sites, in units of the cell vectors:
Ba 0.0000 0.0000 0.0000  6 Ba 3.53, 2 Ce 3.56
Ba 0.3333 0.6667 0.6667  6 Ba 3.53, 2 Ce 3.56
Ba 0.6667 0.3333 0.3333  6 Ba 3.53, 2 Ce 3.56
Ce 0.0000 0.0000 0.0922  3 Dy 3.53, 6 Ce 3.53, 1 Ba 3.56
Ce 0.0000 0.0000 0.9078  3 Dy 3.53, 6 Ce 3.53, 1 Ba 3.56
Ce 0.3333 0.6667 0.5745  3 Dy 3.53, 6 Ce 3.53, 1 Ba 3.56
Ce 0.3333 0.6667 0.7589  3 Dy 3.53, 6 Ce 3.53, 1 Ba 3.56
Ce 0.6667 0.3333 0.2411  3 Dy 3.53, 6 Ce 3.53, 1 Ba 3.56
Ce 0.6667 0.3333 0.4255  3 Dy 3.53, 6 Ce 3.53, 1 Ba 3.56
Dy 0.0000 0.0000 0.5000  6 Ce 3.53, 6 Dy 3.53
Dy 0.3333 0.6667 0.1667  6 Ce 3.53, 6 Dy 3.53
Dy 0.6667 0.3333 0.8333  6 Ce 3.53, 6 Dy 3.53



Record 2
A relaxed structure of Ba2CeDy3O8. Source: Alexandria, functional GGA-PBE.

Properties
As for the density of states at the Fermi level: 0.719 states/eV/atom. For the total energy, the calculation gives -107.2 eV per formula unit. The formation energy without anion corrections comes out at -3.14 eV/atom.

Cell: 7.3346 7.3346 7.3346 Å, 57.24 57.24 57.24°
Last column: nearest neighbours and their distance in Å.
Sites, in units of the cell vectors:
Ba 0.0000 0.0000 0.0000  6 O 2.60-2.67
Ba 0.3764 0.3764 0.3764  4 O 2.52-2.68
Ce 0.6171 0.6171 0.6171  3 O 2.23
Dy 0.0025 0.0025 0.4921  6 O 2.22-2.43
Dy 0.0025 0.4921 0.0025  6 O 2.22-2.43
Dy 0.4921 0.0025 0.0025  6 O 2.22-2.43
O 0.2302 0.2302 0.2302  3 Dy 2.31
O 0.2318 0.7394 0.7394  1 Ce 2.23, 2 Dy 2.42
O 0.2501 0.2501 0.8087  2 Dy 2.22
O 0.2501 0.8087 0.2501  2 Dy 2.22
O 0.7394 0.2318 0.7394  1 Ce 2.23, 2 Dy 2.42
O 0.7394 0.7394 0.2318  1 Ce 2.23, 2 Dy 2.42
O 0.7631 0.7631 0.7631  3 Dy 2.43, 1 Ce 2.68
O 0.8087 0.2501 0.2501  2 Dy 2.22



Record 3
A relaxed structure of Ba2CeDyO5. Source: Alexandria, functional GGA-PBE.

Properties
As for the density of states at the Fermi level: 0.488 states/eV/atom. For the total energy, the calculation gives -65.8 eV per formula unit. The formation energy without anion corrections comes out at -2.96 eV/atom.

Cell: 7.7291 7.7291 11.8603 Å, 90.00 90.00 152.34°
Last column: nearest neighbours and their distance in Å.
Sites, in units of the cell vectors:
Ba 0.1095 0.8905 0.5000  3 O 2.58-2.72
Ba 0.1403 0.8597 0.0823  6 O 2.75-2.89
Ba 0.8597 0.1403 0.5823  6 O 2.75-2.89
Ba 0.8905 0.1095 0.0000  3 O 2.58-2.72
Ce 0.4751 0.5249 0.2682  4 O 2.20-2.31
Ce 0.5249 0.4751 0.7682  4 O 2.20-2.31
Dy 0.2251 0.7749 0.8142  6 O 2.24-2.39
Dy 0.7749 0.2251 0.3142  6 O 2.24-2.39
O 0.0721 0.9279 0.8572  2 Ce 2.24, 1 Dy 2.35
O 0.2749 0.7251 0.4420  2 Dy 2.39, 1 Ba 2.58
O 0.3101 0.6899 0.1978  2 Dy 2.37, 1 Ce 2.61
O 0.3744 0.6256 0.8110  1 Dy 2.24, 1 Ce 2.31
O 0.4954 0.5046 0.5868  1 Ce 2.20
O 0.5046 0.4954 0.0868  1 Ce 2.20
O 0.6256 0.3744 0.3110  1 Dy 2.24, 1 Ce 2.31
O 0.6899 0.3101 0.6978  2 Dy 2.37, 1 Ce 2.61
O 0.7251 0.2749 0.9420  2 Dy 2.39, 1 Ba 2.58
O 0.9279 0.0721 0.3572  2 Ce 2.24, 1 Dy 2.35



Record 4
A relaxed structure of Ba2CeDyS6. Source: Alexandria, functional GGA-PBE.

Properties
As for the density of states at the Fermi level: 1.354 states/eV/atom. For the total energy, the calculation gives -57.4 eV per formula unit. The formation energy without anion corrections comes out at -1.82 eV/atom.

Cell: 7.2419 7.5994 12.6716 Å, 90.00 124.44 90.00°
Last column: nearest neighbours and their distance in Å.
Sites, in units of the cell vectors:
Ba 0.2279 0.0649 0.2494  6 S 3.20-3.40
Ba 0.2279 0.4351 0.7494  6 S 3.20-3.40
Ba 0.7721 0.5649 0.2506  6 S 3.20-3.40
Ba 0.7721 0.9351 0.7506  6 S 3.20-3.40
Ce 0.5000 0.0000 0.0000  6 S 2.69-2.71
Ce 0.5000 0.5000 0.5000  6 S 2.69-2.71
Dy 0.0000 0.0000 0.5000  6 S 2.70-2.72
Dy 0.0000 0.5000 0.0000  6 S 2.70-2.72
S 0.1561 0.2048 0.9541  1 Ce 2.71, 1 Dy 2.72
S 0.1561 0.2952 0.4541  1 Ce 2.71, 1 Dy 2.72
S 0.2507 0.7073 0.9529  1 Ce 2.71, 1 Dy 2.71
S 0.2507 0.7927 0.4529  1 Ce 2.71, 1 Dy 2.71
S 0.3387 0.0229 0.7500  1 Ce 2.69, 1 Dy 2.70
S 0.3387 0.4771 0.2500  1 Ce 2.69, 1 Dy 2.70
S 0.6613 0.5229 0.7500  1 Ce 2.69, 1 Dy 2.70
S 0.6613 0.9771 0.2500  1 Ce 2.69, 1 Dy 2.70
S 0.7493 0.2073 0.5471  1 Ce 2.71, 1 Dy 2.71
S 0.7493 0.2927 0.0471  1 Ce 2.71, 1 Dy 2.71
S 0.8439 0.7048 0.5459  1 Ce 2.71, 1 Dy 2.72
S 0.8439 0.7952 0.0459  1 Ce 2.71, 1 Dy 2.72



Record 5
A relaxed structure of BaCeDy4Se8. Source: Alexandria, functional GGA-PBE.

Properties
As for the density of states at the Fermi level: 0.754 states/eV/atom. For the total energy, the calculation gives -78.8 eV per formula unit. The formation energy without anion corrections comes out at -1.76 eV/atom.

Cell: 8.7188 8.7188 8.7188 Å, 59.19 59.19 59.19°
Last column: nearest neighbours and their distance in Å.
Sites, in units of the cell vectors:
Ba 0.0000 0.0000 0.0000  4 Se 3.02-3.03
Ce 0.6273 0.6273 0.6273  6 Se 2.94-3.07
Dy 0.1227 0.6280 0.6280  6 Se 2.82-2.99
Dy 0.2521 0.2521 0.2521  4 Se 2.77-2.83
Dy 0.6280 0.1227 0.6280  6 Se 2.82-2.99
Dy 0.6280 0.6280 0.1227  6 Se 2.82-2.99
Se 0.3774 0.3774 0.8590  3 Dy 2.77-2.98, 1 Ce 3.07
Se 0.3774 0.8590 0.3774  3 Dy 2.77-2.98, 1 Ce 3.07
Se 0.3838 0.3838 0.3838  4 Dy 2.83-2.99
Se 0.4274 0.8649 0.8649  2 Dy 2.82, 1 Ce 2.94, 1 Ba 3.02
Se 0.8590 0.3774 0.3774  3 Dy 2.77-2.98, 1 Ce 3.07
Se 0.8591 0.8591 0.8591  3 Dy 2.84, 1 Ba 3.03
Se 0.8649 0.4274 0.8649  2 Dy 2.82, 1 Ce 2.94, 1 Ba 3.02
Se 0.8649 0.8649 0.4274  2 Dy 2.82, 1 Ce 2.94, 1 Ba 3.02



Record 6
A relaxed structure of Ba2CeDySe6. Source: Alexandria, functional GGA-PBE.

Properties
As for the density of states at the Fermi level: 1.396 states/eV/atom. For the total energy, the calculation gives -52.5 eV per formula unit. The formation energy without anion corrections comes out at -1.72 eV/atom.

Cell: 7.4082 8.0185 13.1380 Å, 90.00 123.79 90.00°
Last column: nearest neighbours and their distance in Å.
Sites, in units of the cell vectors:
Ba 0.2210 0.0793 0.2495  7 Se 3.34-3.73
Ba 0.2210 0.4207 0.7495  7 Se 3.34-3.73
Ba 0.7790 0.5793 0.2505  7 Se 3.34-3.73
Ba 0.7790 0.9207 0.7505  7 Se 3.34-3.73
Ce 0.5000 0.0000 0.0000  6 Se 2.81-2.85
Ce 0.5000 0.5000 0.5000  6 Se 2.81-2.85
Dy 0.0000 0.0000 0.5000  6 Se 2.82-2.85
Dy 0.0000 0.5000 0.0000  6 Se 2.82-2.85
Se 0.1440 0.1980 0.9530  1 Ce 2.84, 1 Dy 2.85
Se 0.1440 0.3020 0.4530  1 Ce 2.84, 1 Dy 2.85
Se 0.2609 0.6995 0.9521  1 Dy 2.84, 1 Ce 2.85
Se 0.2609 0.8005 0.4521  1 Dy 2.84, 1 Ce 2.85
Se 0.3401 0.0195 0.7496  1 Ce 2.81, 1 Dy 2.82
Se 0.3401 0.4805 0.2496  1 Ce 2.81, 1 Dy 2.82
Se 0.6599 0.5195 0.7504  1 Ce 2.81, 1 Dy 2.82
Se 0.6599 0.9805 0.2504  1 Ce 2.81, 1 Dy 2.82
Se 0.7391 0.1995 0.5479  1 Dy 2.84, 1 Ce 2.85
Se 0.7391 0.3005 0.0479  1 Dy 2.84, 1 Ce 2.85
Se 0.8560 0.6980 0.5470  1 Ce 2.84, 1 Dy 2.85
Se 0.8560 0.8020 0.0470  1 Ce 2.84, 1 Dy 2.85



Record 7
A relaxed structure of Ba2CeErO5. Source: Alexandria, functional GGA-PBE.

Properties
As for the density of states at the Fermi level: 0.487 states/eV/atom. For the total energy, the calculation gives -65.9 eV per formula unit. The formation energy without anion corrections comes out at -2.97 eV/atom.

Cell: 7.6959 7.6959 11.8579 Å, 90.00 90.00 152.36°
Last column: nearest neighbours and their distance in Å.
Sites, in units of the cell vectors:
Ba 0.1091 0.8909 0.5000  3 O 2.57-2.71
Ba 0.1413 0.8587 0.0846  6 O 2.75-2.87
Ba 0.8587 0.1413 0.5846  6 O 2.75-2.87
Ba 0.8909 0.1091 0.0000  3 O 2.57-2.71
Ce 0.4746 0.5254 0.2689  4 O 2.20-2.32
Ce 0.5254 0.4746 0.7689  4 O 2.20-2.32
Er 0.2248 0.7752 0.8164  6 O 2.22-2.37
Er 0.7752 0.2248 0.3164  6 O 2.22-2.37
O 0.0731 0.9269 0.8585  2 Ce 2.24, 1 Er 2.32
O 0.2745 0.7255 0.4423  2 Er 2.37, 1 Ba 2.57
O 0.3097 0.6903 0.2008  2 Er 2.35, 1 Ce 2.59
O 0.3734 0.6266 0.8107  1 Er 2.22, 1 Ce 2.32
O 0.4955 0.5045 0.5876  1 Ce 2.20
O 0.5045 0.4955 0.0876  1 Ce 2.20
O 0.6266 0.3734 0.3107  1 Er 2.22, 1 Ce 2.32
O 0.6903 0.3097 0.7008  2 Er 2.35, 1 Ce 2.59
O 0.7255 0.2745 0.9423  2 Er 2.37, 1 Ba 2.57
O 0.9269 0.0731 0.3585  2 Ce 2.24, 1 Er 2.32



Record 8
A relaxed structure of Ba2CeEr3O8. Source: Alexandria, functional GGA-PBE.

Properties
As for the density of states at the Fermi level: 0.592 states/eV/atom. For the total energy, the calculation gives -107.4 eV per formula unit. The formation energy without anion corrections comes out at -3.16 eV/atom.

Cell: 7.3169 7.3169 7.3169 Å, 56.82 56.82 56.82°
Last column: nearest neighbours and their distance in Å.
Sites, in units of the cell vectors:
Ba 0.0000 0.0000 0.0000  4 O 2.51-2.68
Ba 0.3756 0.3756 0.3756  6 O 2.60-2.66
Ce 0.7601 0.7601 0.7601  3 O 2.22
Er 0.3735 0.3735 0.8838  6 O 2.19-2.40
Er 0.3735 0.8838 0.3735  6 O 2.19-2.40
Er 0.8838 0.3735 0.3735  6 O 2.19-2.40
O 0.1248 0.1248 0.5666  2 Er 2.19
O 0.1248 0.5666 0.1248  2 Er 2.19
O 0.1461 0.1461 0.1461  3 Er 2.29
O 0.1473 0.6364 0.6364  1 Ce 2.22, 2 Er 2.39
O 0.5666 0.1248 0.1248  2 Er 2.19
O 0.6115 0.6115 0.6115  3 Er 2.40
O 0.6364 0.1473 0.6364  1 Ce 2.22, 2 Er 2.39
O 0.6364 0.6364 0.1473  1 Ce 2.22, 2 Er 2.39



Record 9
A relaxed structure of BaCeEu2. Source: Alexandria, functional GGA-PBE.

Properties
As for the density of states at the Fermi level: 2.111 states/eV/atom. For the total energy, the calculation gives -27.7 eV per formula unit. As for the formation enthalpy at 0 K: 0.18 eV/atom.

Cell: 3.9693 3.9693 11.0783 Å, 90.00 90.00 90.00°
Last column: nearest neighbours and their distance in Å.
Sites, in units of the cell vectors:
Ba 0.0000 0.0000 0.0000  4 Ba 3.97, 8 Eu 4.21
Ce 0.0000 0.0000 0.5000  8 Eu 3.69, 4 Ce 3.97
Eu 0.5000 0.5000 0.2832  4 Ce 3.69, 4 Eu 3.97
Eu 0.5000 0.5000 0.7168  4 Ce 3.69, 4 Eu 3.97



Record 10
A relaxed structure of BaCeEuHfO6. Source: Alexandria, functional GGA-PBE.

Properties
As for the density of states at the Fermi level: 1.225 states/eV/atom. For the total energy, the calculation gives -89.6 eV per formula unit. The formation energy without anion corrections comes out at -3.18 eV/atom.

Cell: 6.0970 6.0970 6.0970 Å, 60.00 60.00 60.00°
Last column: nearest neighbours and their distance in Å.
Sites, in units of the cell vectors:
Ba 0.0000 0.0000 0.0000  12 O 3.05
Ce 0.7500 0.7500 0.7500  6 O 2.23
Eu 0.5000 0.5000 0.5000  12 O 3.05
Hf 0.2500 0.2500 0.2500  6 O 2.08
O 0.0089 0.0089 0.4911  1 Hf 2.08, 1 Ce 2.23
O 0.0089 0.4911 0.0089  1 Hf 2.08, 1 Ce 2.23
O 0.0089 0.4911 0.4911  1 Hf 2.08, 1 Ce 2.23
O 0.4911 0.0089 0.0089  1 Hf 2.08, 1 Ce 2.23
O 0.4911 0.0089 0.4911  1 Hf 2.08, 1 Ce 2.23
O 0.4911 0.4911 0.0089  1 Hf 2.08, 1 Ce 2.23



Record 11
A relaxed structure of BaCeEuNbO6. Source: Alexandria, functional GGA-PBE.

Properties
As for the density of states at the Fermi level: 0.694 states/eV/atom. For the total energy, the calculation gives -86.8 eV per formula unit. The formation energy without anion corrections comes out at -2.88 eV/atom.

Cell: 6.0903 6.0903 6.0903 Å, 60.00 60.00 60.00°
Last column: nearest neighbours and their distance in Å.
Sites, in units of the cell vectors:
Ba 0.0000 0.0000 0.0000  12 O 3.05
Ce 0.2500 0.2500 0.2500  6 O 2.27
Eu 0.5000 0.5000 0.5000  12 O 3.05
Nb 0.7500 0.7500 0.7500  6 O 2.04
O 0.5136 0.5136 0.9864  1 Nb 2.04, 1 Ce 2.27
O 0.5136 0.9864 0.5136  1 Nb 2.04, 1 Ce 2.27
O 0.5136 0.9864 0.9864  1 Nb 2.04, 1 Ce 2.27
O 0.9864 0.5136 0.5136  1 Nb 2.04, 1 Ce 2.27
O 0.9864 0.5136 0.9864  1 Nb 2.04, 1 Ce 2.27
O 0.9864 0.9864 0.5136  1 Nb 2.04, 1 Ce 2.27



Record 12
A relaxed structure of BaCeF4. Source: Alexandria, functional GGA-PBE.

Properties
As for the density of states at the Fermi level: 1.345 states/eV/atom. For the total energy, the calculation gives -37.0 eV per formula unit. The formation energy without anion corrections comes out at -3.62 eV/atom.

Cell: 5.9688 5.9766 6.3330 Å, 90.00 90.00 90.00°
Last column: nearest neighbours and their distance in Å.
Sites, in units of the cell vectors:
Ba 0.0000 0.0000 0.0000  8 F 2.80
Ba 0.5000 0.5000 0.0000  8 F 2.80
Ce 0.0000 0.5000 0.5000  8 F 2.49
Ce 0.5000 0.0000 0.5000  8 F 2.49
F 0.2500 0.2500 0.2913  2 Ce 2.49, 1 F 2.64
F 0.2500 0.2500 0.7087  2 Ce 2.49, 1 F 2.64
F 0.2500 0.7500 0.2913  2 Ce 2.49, 1 F 2.64
F 0.2500 0.7500 0.7087  2 Ce 2.49, 1 F 2.64
F 0.7500 0.2500 0.2913  2 Ce 2.49, 1 F 2.64
F 0.7500 0.2500 0.7087  2 Ce 2.49, 1 F 2.64
F 0.7500 0.7500 0.2913  2 Ce 2.49, 1 F 2.64
F 0.7500 0.7500 0.7087  2 Ce 2.49, 1 F 2.64